Record 1
This record from Alexandria describes crystalline Rb2HfOsCl6 at its relaxed geometry. The functional is PBE-GGA.

The density is 4.447 g/cm³. Its formation energy (no corrections) is -1011 meV per atom. The crystal system is tetragonal.

CIF file:
```
data_Rb2HfOsCl6
_chemical_formula_sum 'Rb4 Hf2 Os2 Cl12'
_cell_length_a 7.8607
_cell_length_b 7.8607
_cell_length_c 9.0939
_cell_angle_alpha 90.00
_cell_angle_beta 90.00
_cell_angle_gamma 90.00
_space_group_name_H-M_alt 'I 4/m m m'
_space_group_IT_number 139
_space_group_name_Hall '-I 4 2'
loop_
_atom_site_label
_atom_site_fract_x
_atom_site_fract_y
_atom_site_fract_z
Rb1 0.0000 0.5000 0.2500
Hf1 0.0000 0.0000 0.0000
Os1 0.0000 0.0000 0.5000
Cl1 0.0000 0.0000 0.2560
Cl2 0.2272 0.2272 0.0000
```

=====

Record 2
This record from Alexandria describes crystalline HfOsWCl2 at its relaxed geometry. The functional is PBE-GGA.

The density is 9.182 g/cm³. Its formation energy (no corrections) is 1520 meV per atom. The crystal system is tetragonal.

CIF file:
```
data_HfOsWCl2
_chemical_formula_sum 'Hf1 Os1 W1 Cl2'
_cell_length_a 4.5848
_cell_length_b 4.5848
_cell_length_c 5.3640
_cell_angle_alpha 90.00
_cell_angle_beta 90.00
_cell_angle_gamma 90.00
_space_group_name_H-M_alt 'P 4/m m m'
_space_group_IT_number 123
_space_group_name_Hall '-P 4 2'
loop_
_atom_site_label
_atom_site_fract_x
_atom_site_fract_y
_atom_site_fract_z
Hf1 0.0000 0.0000 0.0000
Os1 0.0000 0.0000 0.5000
W1 0.5000 0.5000 0.0000
Cl1 0.0000 0.5000 0.5000
```

=====

Record 3
This record from Alexandria describes crystalline HfP3Cl at its relaxed geometry. The functional is PBE-GGA.

The density is 5.691 g/cm³. Its formation energy (no corrections) is 840 meV per atom. The calculation puts the energy above the most stable polymorph in this dataset at 10.25 kcal/mol of atoms. The crystal system is cubic.

CIF file:
```
data_HfP3Cl
_chemical_formula_sum 'Hf1 P3 Cl1'
_cell_length_a 4.4737
_cell_length_b 4.4737
_cell_length_c 4.4737
_cell_angle_alpha 90.00
_cell_angle_beta 90.00
_cell_angle_gamma 90.00
_space_group_name_H-M_alt 'P m -3 m'
_space_group_IT_number 221
_space_group_name_Hall '-P 4 2 3'
loop_
_atom_site_label
_atom_site_fract_x
_atom_site_fract_y
_atom_site_fract_z
Hf1 0.0000 0.0000 0.0000
P1 0.0000 0.5000 0.5000
Cl1 0.5000 0.5000 0.5000
```

=====

Record 4
This record from Alexandria describes crystalline Hf2PCl at its relaxed geometry. The functional is PBE-GGA.

The density is 7.423 g/cm³. Its formation energy (no corrections) is -182 meV per atom. The calculation puts the energy above the most stable polymorph in this dataset at 12.52 kcal/mol of atoms. The crystal system is tetragonal.

CIF file:
```
data_Hf2PCl
_chemical_formula_sum 'Hf8 P4 Cl4'
_cell_length_a 5.7595
_cell_length_b 5.7595
_cell_length_c 11.4206
_cell_angle_alpha 90.00
_cell_angle_beta 90.00
_cell_angle_gamma 90.00
_space_group_name_H-M_alt 'I -4 2 d'
_space_group_IT_number 122
_space_group_name_Hall 'I -4 2bw'
loop_
_atom_site_label
_atom_site_fract_x
_atom_site_fract_y
_atom_site_fract_z
Hf1 0.2408 0.2500 0.1250
P1 0.0000 0.0000 0.0000
Cl1 0.0000 0.0000 0.5000
```

=====

Record 5
This record from Alexandria describes crystalline HfPCl2 at its relaxed geometry. The functional is PBE-GGA.

The density is 4.356 g/cm³. Its formation energy (no corrections) is -686 meV per atom. The calculation puts the energy above the most stable polymorph in this dataset at 0.00 kcal/mol of atoms. The crystal system is tetragonal.

CIF file:
```
data_HfPCl2
_chemical_formula_sum 'Hf4 P4 Cl8'
_cell_length_a 9.2197
_cell_length_b 9.2197
_cell_length_c 5.0295
_cell_angle_alpha 90.00
_cell_angle_beta 90.00
_cell_angle_gamma 90.00
_space_group_name_H-M_alt 'I -4 2 d'
_space_group_IT_number 122
_space_group_name_Hall 'I -4 2bw'
loop_
_atom_site_label
_atom_site_fract_x
_atom_site_fract_y
_atom_site_fract_z
Hf1 0.0000 0.0000 0.0000
P1 0.0000 0.0000 0.5000
Cl1 0.1015 0.2500 0.1250
```

=====

Record 6
This record from Alexandria describes crystalline HfPCl at its relaxed geometry. The functional is PBE-GGA.

The density is 6.011 g/cm³. Its formation energy (no corrections) is -1303 meV per atom. The calculation puts the energy above the most stable polymorph in this dataset at 0.30 kcal/mol of atoms. The crystal system is tetragonal.

CIF file:
```
data_HfPCl
_chemical_formula_sum 'Hf4 P4 Cl4'
_cell_length_a 3.5015
_cell_length_b 3.5015
_cell_length_c 22.0750
_cell_angle_alpha 90.00
_cell_angle_beta 90.00
_cell_angle_gamma 90.00
_space_group_name_H-M_alt 'I -4 m 2'
_space_group_IT_number 119
_space_group_name_Hall 'I -4 -2'
loop_
_atom_site_label
_atom_site_fract_x
_atom_site_fract_y
_atom_site_fract_z
Hf1 0.0000 0.0000 0.1680
P1 0.0000 0.0000 0.2894
Cl1 0.0000 0.5000 0.0812
```

=====

Record 7
This record from Alexandria describes crystalline HfPCl at its relaxed geometry. The functional is PBE-GGA.

The density is 5.933 g/cm³. Its formation energy (no corrections) is -1316 meV per atom. The calculation puts the energy above the most stable polymorph in this dataset at 0.00 kcal/mol of atoms. The crystal system is monoclinic.

CIF file:
```
data_HfPCl
_chemical_formula_sum 'Hf2 P2 Cl2'
_cell_length_a 3.6448
_cell_length_b 3.4211
_cell_length_c 10.9944
_cell_angle_alpha 90.00
_cell_angle_beta 90.25
_cell_angle_gamma 90.00
_space_group_name_H-M_alt 'P 1 21/m 1'
_space_group_IT_number 11
loop_
_space_group_symop_operation_xyz
'x,y,z'
'-x,-y,-z'
'-x,y+1/2,-z'
'x,-y+1/2,z'
loop_
_atom_site_label
_atom_site_fract_x
_atom_site_fract_y
_atom_site_fract_z
Hf1 0.2479 0.2500 0.3377
P1 0.2510 0.2500 0.5807
Cl1 0.2456 0.7500 0.1614
```

=====

Record 8
This record from Alexandria describes crystalline HfPCl2 at its relaxed geometry. The functional is PBE-GGA.

The density is 6.759 g/cm³. Its formation energy (no corrections) is -45 meV per atom. The calculation puts the energy above the most stable polymorph in this dataset at 14.77 kcal/mol of atoms. The crystal system is cubic.

CIF file:
```
data_HfPCl2
_chemical_formula_sum 'Hf4 P4 Cl8'
_cell_length_a 6.5071
_cell_length_b 6.5071
_cell_length_c 6.5071
_cell_angle_alpha 90.00
_cell_angle_beta 90.00
_cell_angle_gamma 90.00
_space_group_name_H-M_alt 'F m -3 m'
_space_group_IT_number 225
_space_group_name_Hall '-F 4 2 3'
loop_
_atom_site_label
_atom_site_fract_x
_atom_site_fract_y
_atom_site_fract_z
Hf1 0.0000 0.0000 0.0000
P1 0.0000 0.0000 0.5000
Cl1 0.2500 0.2500 0.2500
```

=====

Record 9
This record from Alexandria describes crystalline HfPCl at its relaxed geometry. The functional is PBE-GGA.

The density is 6.053 g/cm³. Its formation energy (no corrections) is -1167 meV per atom. The calculation puts the energy above the most stable polymorph in this dataset at 3.45 kcal/mol of atoms. The crystal system is tetragonal.

CIF file:
```
data_HfPCl
_chemical_formula_sum 'Hf1 P1 Cl1'
_cell_length_a 3.6312
_cell_length_b 3.6312
_cell_length_c 5.0956
_cell_angle_alpha 90.00
_cell_angle_beta 90.00
_cell_angle_gamma 90.00
_space_group_name_H-M_alt 'P 4/m m m'
_space_group_IT_number 123
_space_group_name_Hall '-P 4 2'
loop_
_atom_site_label
_atom_site_fract_x
_atom_site_fract_y
_atom_site_fract_z
Hf1 0.0000 0.0000 0.0000
P1 0.5000 0.5000 0.0000
Cl1 0.0000 0.0000 0.5000
```

=====

Record 10
This record from Alexandria describes crystalline Hf2PCl at its relaxed geometry. The functional is PBE-GGA.

The density is 10.393 g/cm³. Its formation energy (no corrections) is -725 meV per atom. The calculation puts the energy above the most stable polymorph in this dataset at 0.00 kcal/mol of atoms. The crystal system is cubic.

CIF file:
```
data_Hf2PCl
_chemical_formula_sum 'Hf8 P4 Cl4'
_cell_length_a 6.4681
_cell_length_b 6.4681
_cell_length_c 6.4681
_cell_angle_alpha 90.00
_cell_angle_beta 90.00
_cell_angle_gamma 90.00
_space_group_name_H-M_alt 'F m -3 m'
_space_group_IT_number 225
_space_group_name_Hall '-F 4 2 3'
loop_
_atom_site_label
_atom_site_fract_x
_atom_site_fract_y
_atom_site_fract_z
Hf1 0.2500 0.2500 0.2500
P1 0.0000 0.0000 0.0000
Cl1 0.0000 0.0000 0.5000
```

=====

Record 11
This record from Alexandria describes crystalline HfP3Cl at its relaxed geometry. The functional is PBE-GGA.

The density is 4.118 g/cm³. Its formation energy (no corrections) is 396 meV per atom. The calculation puts the energy above the most stable polymorph in this dataset at 0.00 kcal/mol of atoms. The crystal system is cubic.

CIF file:
```
data_HfP3Cl
_chemical_formula_sum 'Hf1 P3 Cl1'
_cell_length_a 4.9833
_cell_length_b 4.9833
_cell_length_c 4.9833
_cell_angle_alpha 90.00
_cell_angle_beta 90.00
_cell_angle_gamma 90.00
_space_group_name_H-M_alt 'P m -3 m'
_space_group_IT_number 221
_space_group_name_Hall '-P 4 2 3'
loop_
_atom_site_label
_atom_site_fract_x
_atom_site_fract_y
_atom_site_fract_z
Hf1 0.0000 0.0000 0.0000
P1 0.0000 0.0000 0.5000
Cl1 0.5000 0.5000 0.5000
```

=====

Record 12
This record from Alexandria describes crystalline HfPCl at its relaxed geometry. The functional is PBE-GGA.

The density is 5.462 g/cm³. Its formation energy (no corrections) is -1277 meV per atom. The calculation puts the energy above the most stable polymorph in this dataset at 0.90 kcal/mol of atoms. The crystal system is triclinic.

CIF file:
```
data_HfPCl
_chemical_formula_sum 'Hf2 P2 Cl2'
_cell_length_a 3.3553
_cell_length_b 4.7832
_cell_length_c 9.9082
_cell_angle_alpha 89.30
_cell_angle_beta 89.70
_cell_angle_gamma 69.47
_space_group_name_H-M_alt 'P -1'
_space_group_IT_number 2
loop_
_space_group_symop_operation_xyz
'x,y,z'
'-x,-y,-z'
loop_
_atom_site_label
_atom_site_fract_x
_atom_site_fract_y
_atom_site_fract_z
Hf1 0.0744 0.3454 0.1431
P1 0.3601 0.7801 0.0624
Cl1 0.3657 0.7800 0.6716
```

=====

What is the formula in the fifth record? HfPCl2

=====

Copy entry 5 word for word.
This record from Alexandria describes crystalline HfPCl2 at its relaxed geometry. The functional is PBE-GGA.

The density is 4.356 g/cm³. Its formation energy (no corrections) is -686 meV per atom. The calculation puts the energy above the most stable polymorph in this dataset at 0.00 kcal/mol of atoms. The crystal system is tetragonal.

CIF file:
```
data_HfPCl2
_chemical_formula_sum 'Hf4 P4 Cl8'
_cell_length_a 9.2197
_cell_length_b 9.2197
_cell_length_c 5.0295
_cell_angle_alpha 90.00
_cell_angle_beta 90.00
_cell_angle_gamma 90.00
_space_group_name_H-M_alt 'I -4 2 d'
_space_group_IT_number 122
_space_group_name_Hall 'I -4 2bw'
loop_
_atom_site_label
_atom_site_fract_x
_atom_site_fract_y
_atom_site_fract_z
Hf1 0.0000 0.0000 0.0000
P1 0.0000 0.0000 0.5000
Cl1 0.1015 0.2500 0.1250
```

=====

Among the records above, which one has the lowest formation energy (no corrections)? number 7